No. 1
## Dy3PbSe6 (GGA-PBE)

Data for an optimized crystal structure of Dy3PbSe6.

Unit cell a=4.173 b=11.728 c=12.038 alpha=108.90 beta=90.00 gamma=90.00
Fractional coordinates of all 20 atoms:
Se (0.250, 0.085, 0.913)
Se (0.750, 0.725, 0.269)
Se (0.750, 0.390, 0.056)
Se (0.750, 0.485, 0.617)
Se (0.750, 0.794, 0.746)
Se (0.250, 0.868, 0.527)
Se (0.250, 0.206, 0.254)
Se (0.250, 0.610, 0.944)
Se (0.250, 0.515, 0.383)
Se (0.750, 0.132, 0.473)
Se (0.750, 0.915, 0.087)
Se (0.250, 0.275, 0.731)
Pb (0.250, 0.968, 0.316)
Pb (0.750, 0.032, 0.684)
Dy (0.250, 0.323, 0.505)
Dy (0.750, 0.677, 0.495)
Dy (0.250, 0.844, 0.916)
Dy (0.750, 0.441, 0.836)
Dy (0.750, 0.156, 0.084)
Dy (0.250, 0.559, 0.164)

Results
- D(E_F): 8.57 states/eV/f.u.
- E_form (uncorrected): -1.44 eV/atom
- Raw total energy: -105.69 eV per cell

No. 2
## AcTbMgGa (GGA-PBE)

Data for an optimized crystal structure of AcTbMgGa.

Unit cell a=5.451 b=5.451 c=5.451 alpha=60.00 beta=60.00 gamma=60.00
Fractional coordinates of all 4 atoms:
Ga (0.000, 0.000, 0.000)
Tb (0.750, 0.750, 0.750)
Ac (0.250, 0.250, 0.250)
Mg (0.500, 0.500, 0.500)

Results
- E_form: -1.0 eV/f.u.
- D(E_F): 3.81 states/eV/f.u.
- Raw total energy: -14.38 eV per cell

No. 3
## NiOsRu2 (GGA-PBE)

Data for an optimized crystal structure of NiOsRu2.

Unit cell a=4.263 b=4.263 c=4.263 alpha=60.00 beta=60.00 gamma=60.00
Site moments in Bohr magnetons follow the coordinates.
Fractional coordinates of all 4 atoms:
Os (0.500, 0.500, 0.500)  0.40
Ni (0.000, 0.000, 0.000)  0.28
Ru (0.750, 0.750, 0.750)  0.17
Ru (0.250, 0.250, 0.250)  0.17

Results
- E_form: 1.8 eV/f.u.
- D(E_F): 8.27 states/eV/f.u.
- Raw total energy: -33.77 eV per cell

No. 4
## BaTe2RhI (GGA-PBE)

Data for an optimized crystal structure of BaTe2RhI.

Unit cell a=6.677 b=6.677 c=6.619 alpha=90.00 beta=90.00 gamma=90.00
Site moments in Bohr magnetons follow the coordinates.
Fractional coordinates of all 5 atoms:
Ba (0.000, 0.000, 0.000)  0.00
Te (0.000, 0.500, 0.000)  0.55
Te (0.500, 0.000, 0.000)  0.55
I (0.000, 0.000, 0.500)  0.10
Rh (0.500, 0.500, 0.500)  1.56

Results
- D(E_F): 8.57 states/eV/f.u.
- E_form (uncorrected): 0.73 eV/atom
- Raw total energy: -13.47 eV per cell

No. 5
## CrCu2Rh (GGA-PBE)

Data for an optimized crystal structure of CrCu2Rh.

Unit cell a=4.203 b=4.203 c=4.203 alpha=60.00 beta=60.00 gamma=60.00
Site moments in Bohr magnetons follow the coordinates.
Fractional coordinates of all 4 atoms:
Cu (0.000, 0.000, 0.000)  0.02
Cu (0.250, 0.250, 0.250)  0.12
Rh (0.750, 0.750, 0.750)  -0.04
Cr (0.500, 0.500, 0.500)  2.69

Results
- E_form: 0.6 eV/f.u.
- D(E_F): 3.98 states/eV/f.u.
- Raw total energy: -24.61 eV per cell

No. 6
## ZrTl2P (GGA-PBE)

Data for an optimized crystal structure of ZrTl2P.

Unit cell a=4.898 b=4.898 c=5.866 alpha=72.50 beta=72.50 gamma=46.75
Fractional coordinates of all 4 atoms:
Tl (0.038, 0.038, 0.983)
Tl (0.250, 0.250, 0.270)
P (0.756, 0.756, 0.631)
Zr (0.456, 0.456, 0.617)

Results
- E_form: -0.4 eV/f.u.
- D(E_F): 2.67 states/eV/f.u.
- Raw total energy: -19.07 eV per cell

no.,density (g/cm³)
1,7.0
2,7.0
3,13.7
4,3.5
5,8.9
6,9.1